First-principles (meta-GGA SCAN) data for a PBEsol-optimized structure of BaMnZn2, as listed in Alexandria via LeMat-Bulk.

Unit cell a=7.141 b=7.141 c=7.141 alpha=90.00 beta=90.00 gamma=90.00
Space group Fm-3m (No. 225)
Asymmetric unit:
Ba 0.000 0.000 0.000 [4 per cell]
Mn 0.000 0.000 0.500 [4 per cell]
Zn 0.250 0.250 0.250 [8 per cell]

## Properties
As for the total moment: 4.8 μB/f.u. As for the density: 5.894 g/cm3. The uncorrected energy comes out at -337.272 eV for the cell shown. As for the crystal system: cubic. The calculated volume comes out at 22.8 Å³ per atom.

First-principles (meta-GGA SCAN) data for a PBEsol-optimized structure of BaZrMn, as listed in Alexandria via LeMat-Bulk.

Unit cell a=6.762 b=6.762 c=6.762 alpha=90.00 beta=90.00 gamma=90.00
Space group F-43m (No. 216)
Asymmetric unit:
Ba 0.000 0.000 0.000 [4 per cell]
Zr 0.250 0.250 0.250 [4 per cell]
Mn 0.250 0.250 0.750 [4 per cell]

## Properties
As for the total moment: 3.2 μB/f.u. As for the density: 6.091 g/cm3. The calculation puts the energy relative to the lowest polymorph listed for this composition at 0.843 eV per atom. The uncorrected energy comes out at -335.874 eV for the cell shown. As for the crystal system: cubic. The calculated volume comes out at 25.8 Å³ per atom.

First-principles (meta-GGA SCAN) data for a PBEsol-optimized structure of BaZrMn2, as listed in Alexandria via LeMat-Bulk.

Unit cell a=3.551 b=3.551 c=7.027 alpha=90.00 beta=90.00 gamma=90.00
Space group P4/mmm (No. 123)
Asymmetric unit:
Ba 0.000 0.000 0.000 [1 per cell]
Zr 0.000 0.000 0.500 [1 per cell]
Mn 0.500 0.500 0.360 [2 per cell]

## Properties
As for the total moment: 1.9 μB/f.u. As for the density: 6.341 g/cm3. The calculation puts the energy relative to the lowest polymorph listed for this composition at 0.337 eV per atom. The uncorrected energy comes out at -104.280 eV for the cell shown. As for the crystal system: tetragonal. The calculated volume comes out at 22.2 Å³ per atom.